{
  "formula": "ReAgSe",
  "functional": "PBE",
  "state": "optimized geometry",
  "lattice": [[-0.673, 1.487, -6.338], [-4.337, -0.092, -4.900], [1.870, 1.256, 6.145]],
  "species": ["Ag", "Se", "Re"],
  "fractional_positions": [[0.978, 0.978, 0.000], [0.703, 0.703, 0.000], [0.318, 0.318, 0.000]],
  "e_tot_ev_per_atom": -5.84,
  "relative_energy_mev_per_atom": 120,
  "dos_at_fermi_per_ev_atom": 0.7886,
  "spacegroup": "No. 107",
  "raw_formation_energy_ev_per_atom": 0.43,
  "volume_a3_per_atom": 18.6,
  "mass_density_g_cm3": 11.1
}

=====

{
  "formula": "ReAgSe2",
  "functional": "PBE",
  "state": "optimized geometry",
  "lattice": [[6.717, -0.037, 0.020], [6.010, 2.999, 0.020], [4.239, 0.987, 4.885]],
  "species": ["Ag", "Se", "Se", "Re"],
  "fractional_positions": [[0.558, 0.558, 0.551], [0.756, 0.756, 0.813], [0.921, 0.921, 0.049], [0.265, 0.265, 0.087]],
  "e_tot_ev_per_atom": -5.36,
  "relative_energy_mev_per_atom": 72,
  "dos_at_fermi_per_ev_atom": 0.8787,
  "spacegroup": "No. 8",
  "raw_formation_energy_ev_per_atom": 0.20,
  "volume_a3_per_atom": 24.8,
  "mass_density_g_cm3": 7.6
}

=====

{
  "formula": "ReAgSe2",
  "functional": "PBE",
  "state": "optimized geometry",
  "lattice": [[1.831, 0.000, 9.298], [-0.915, 1.585, 9.298], [-0.915, -1.585, 9.298]],
  "species": ["Re", "Ag", "Se", "Se"],
  "fractional_positions": [[0.500, 0.500, 0.500], [0.000, 0.000, 0.000], [0.897, 0.897, 0.897], [0.103, 0.103, 0.103]],
  "e_tot_ev_per_atom": -5.43,
  "relative_energy_mev_per_atom": 4,
  "dos_at_fermi_per_ev_atom": 0.5375,
  "spacegroup": "No. 166",
  "raw_formation_energy_ev_per_atom": 0.14,
  "volume_a3_per_atom": 20.2,
  "mass_density_g_cm3": 9.3
}

=====

{
  "formula": "Re4AgSe8",
  "functional": "PBE",
  "state": "optimized geometry",
  "lattice": [[-5.551, 2.740, -1.710], [0.503, -2.967, 5.674], [5.840, 5.904, 2.569]],
  "species": ["Re", "Re", "Re", "Re", "Ag", "Se", "Se", "Se", "Se", "Se", "Se", "Se", "Se"],
  "fractional_positions": [[0.000, 0.500, 0.000], [0.500, 0.000, 0.000], [0.000, 0.000, 0.000], [0.500, 0.500, 0.000], [0.000, 0.500, 0.500], [0.516, 0.258, 0.774], [0.483, 0.242, 0.224], [0.484, 0.742, 0.226], [0.017, 0.758, 0.776], [0.983, 0.741, 0.224], [0.517, 0.758, 0.776], [0.983, 0.242, 0.224], [0.017, 0.259, 0.776]],
  "e_tot_ev_per_atom": -6.17,
  "dos_at_fermi_per_ev_atom": 0.6225,
  "spacegroup": "No. 166",
  "raw_formation_energy_ev_per_atom": 0.02,
  "volume_a3_per_atom": 21.6,
  "mass_density_g_cm3": 8.8
}

=====

{
  "formula": "ReAgSe2",
  "functional": "PBE",
  "state": "optimized geometry",
  "lattice": [[1.637, 0.000, 11.477], [-0.819, 1.418, 11.477], [-0.819, -1.418, 11.477]],
  "species": ["Ag", "Re", "Se", "Se"],
  "fractional_positions": [[0.500, 0.500, 0.500], [0.000, 0.000, 0.000], [0.072, 0.072, 0.072], [0.928, 0.928, 0.928]],
  "e_tot_ev_per_atom": -5.07,
  "relative_energy_mev_per_atom": 364,
  "dos_at_fermi_per_ev_atom": 0.7387,
  "spacegroup": "No. 166",
  "raw_formation_energy_ev_per_atom": 0.50,
  "volume_a3_per_atom": 20.0,
  "mass_density_g_cm3": 9.4
}

=====

{
  "formula": "ReAgSe2",
  "functional": "PBE",
  "state": "optimized geometry",
  "lattice": [[4.696, 0.065, 0.000], [-0.063, 4.696, 0.000], [0.000, 0.000, 3.184]],
  "species": ["Re", "Se", "Se", "Ag"],
  "fractional_positions": [[0.000, 0.500, 0.500], [0.500, 0.500, 0.000], [0.000, 0.000, 0.000], [0.500, 0.000, 0.500]],
  "e_tot_ev_per_atom": -4.86,
  "relative_energy_mev_per_atom": 570,
  "dos_at_fermi_per_ev_atom": 1.0221,
  "spacegroup": "No. 123",
  "raw_formation_energy_ev_per_atom": 0.70,
  "volume_a3_per_atom": 17.6,
  "mass_density_g_cm3": 10.7
}